{
  "formula": "KTl3Hg3",
  "functional": "PBE",
  "state": "relaxed",
  "crystal_system": "trigonal",
  "ef_mev_per_atom": -74,
  "rho_g_cm3": 9.355,
  "e_above_lowest_polymorph_ev_per_atom": 0.0122,
  "lattice_angstrom": [[8.590, 0.000, 0.000], [4.295, 7.439, 0.000], [4.295, 2.480, 6.966]],
  "species": ["Hg", "Hg", "Hg", "Hg", "Hg", "Hg", "Tl", "Tl", "Tl", "Tl", "Tl", "Tl", "K", "K"],
  "frac_coords": [[0.169, 0.727, 0.180], [0.273, 0.076, 0.820], [0.831, 0.273, 0.820], [0.924, 0.169, 0.180], [0.076, 0.831, 0.820], [0.727, 0.924, 0.180], [0.259, 0.951, 0.373], [0.951, 0.417, 0.373], [0.583, 0.741, 0.627], [0.049, 0.583, 0.627], [0.741, 0.049, 0.627], [0.417, 0.259, 0.373], [0.640, 0.640, 0.080], [0.360, 0.360, 0.920]]
}


{
  "formula": "YTe2Pb",
  "functional": "PBE",
  "state": "relaxed",
  "crystal_system": "tetragonal",
  "e_form_raw_ev_per_atom": -0.767,
  "rho_g_cm3": 7.752,
  "lattice_angstrom": [[-1.744, -0.370, -3.446], [3.460, 0.025, -1.754], [0.382, -7.811, 0.645]],
  "species": ["Te", "Te", "Pb", "Y"],
  "frac_coords": [[0.000, 0.000, 0.027], [0.000, 0.000, 0.473], [0.500, 0.500, 0.750], [0.500, 0.500, 0.250]]
}


{
  "formula": "Y2ZrPd",
  "functional": "PBE",
  "state": "relaxed",
  "crystal_system": "tetragonal",
  "ef_mev_per_atom": -363,
  "rho_g_cm3": 6.362,
  "e_above_lowest_polymorph_ev_per_atom": 0.0000,
  "lattice_angstrom": [[-2.170, 1.399, -2.390], [-2.213, -2.702, 0.428], [-3.747, 3.977, 5.729]],
  "species": ["Y", "Y", "Zr", "Pd"],
  "frac_coords": [[0.000, 0.000, 0.781], [0.000, 0.000, 0.219], [0.500, 0.500, 0.500], [0.500, 0.500, 0.000]]
}


{
  "formula": "LaPrTmSc",
  "functional": "PBE",
  "state": "relaxed",
  "crystal_system": "cubic",
  "ef_mev_per_atom": 79,
  "rho_g_cm3": 6.424,
  "e_above_lowest_polymorph_ev_per_atom": 0.0105,
  "lattice_angstrom": [[5.651, 0.000, 0.000], [2.826, 4.894, 0.000], [2.826, 1.631, 4.614]],
  "species": ["Pr", "Tm", "Sc", "La"],
  "frac_coords": [[0.250, 0.250, 0.250], [0.500, 0.500, 0.500], [0.000, 0.000, 0.000], [0.750, 0.750, 0.750]]
}


{
  "formula": "FeTcAg",
  "functional": "PBE",
  "state": "relaxed",
  "crystal_system": "tetragonal",
  "ef_mev_per_atom": 362,
  "rho_g_cm3": 9.917,
  "e_above_lowest_polymorph_ev_per_atom": 0.0000,
  "lattice_angstrom": [[5.917, 0.947, -0.325], [4.098, 4.372, 0.325], [-4.855, -2.946, 1.939]],
  "species": ["Ag", "Fe", "Tc"],
  "frac_coords": [[0.994, 0.994, 0.000], [0.317, 0.317, 0.000], [0.689, 0.689, 0.000]]
}


{
  "formula": "CaTa2Cd",
  "functional": "PBE",
  "state": "relaxed",
  "crystal_system": "cubic",
  "ef_mev_per_atom": 597,
  "rho_g_cm3": 10.190,
  "lattice_angstrom": [[4.912, 0.000, 0.000], [2.456, 4.254, 0.000], [2.456, 1.418, 4.011]],
  "species": ["Ta", "Ta", "Cd", "Ca"],
  "frac_coords": [[0.000, 0.000, 0.000], [0.750, 0.750, 0.750], [0.250, 0.250, 0.250], [0.500, 0.500, 0.500]]
}


{
  "formula": "LiNdPu2Se4",
  "functional": "PBE",
  "state": "relaxed",
  "crystal_system": "monoclinic",
  "e_form_raw_ev_per_atom": -1.544,
  "rho_g_cm3": 7.797,
  "lattice_angstrom": [[-3.975, 0.743, -0.993], [-0.983, -7.035, -1.332], [-1.457, 1.414, 6.895]],
  "species": ["Pu", "Pu", "Se", "Se", "Se", "Se", "Nd", "Li"],
  "frac_coords": [[0.000, 0.500, 0.500], [0.500, 0.000, 0.500], [0.500, 0.742, 0.749], [0.500, 0.258, 0.251], [0.000, 0.745, 0.247], [0.000, 0.255, 0.753], [0.000, 0.000, 0.000], [0.500, 0.500, 0.000]]
}


{
  "formula": "K2OsSe",
  "functional": "PBE",
  "state": "relaxed",
  "crystal_system": "tetragonal",
  "e_form_raw_ev_per_atom": 0.905,
  "rho_g_cm3": 5.795,
  "lattice_angstrom": [[5.204, -0.073, 0.000], [0.090, 5.204, 0.000], [-2.647, -2.566, 3.674]],
  "species": ["K", "K", "Os", "Se"],
  "frac_coords": [[0.250, 0.750, 0.500], [0.000, 0.000, 0.000], [0.500, 0.500, 0.000], [0.750, 0.250, 0.500]]
}


{
  "formula": "PuTlFeCl6",
  "functional": "PBE",
  "state": "relaxed",
  "crystal_system": "trigonal",
  "e_form_raw_ev_per_atom": -1.184,
  "rho_g_cm3": 4.432,
  "lattice_angstrom": [[6.605, 0.000, 0.000], [-3.302, 5.720, 0.000], [0.000, 0.000, 14.221]],
  "species": ["Cl", "Cl", "Cl", "Cl", "Cl", "Cl", "Cl", "Cl", "Cl", "Cl", "Cl", "Cl", "Fe", "Fe", "Tl", "Tl", "Pu", "Pu"],
  "frac_coords": [[0.385, 0.340, 0.848], [0.045, 0.660, 0.348], [0.955, 0.615, 0.848], [0.340, 0.955, 0.152], [0.615, 0.955, 0.348], [0.340, 0.385, 0.348], [0.045, 0.385, 0.152], [0.615, 0.660, 0.152], [0.385, 0.045, 0.652], [0.660, 0.045, 0.848], [0.955, 0.340, 0.652], [0.660, 0.615, 0.652], [0.333, 0.667, 0.250], [0.667, 0.333, 0.750], [0.000, 0.000, 0.000], [0.000, 0.000, 0.500], [0.333, 0.667, 0.750], [0.667, 0.333, 0.250]]
}